(1)
Here is a geometry-optimized Zr2Be2Mo structure from Alexandria via LeMat-Bulk. Energies are from PBE.

Lattice parameters (Å, degrees): 6.5706 6.5706 3.6378 90.00 90.00 90.00
Last column: nearest neighbours and their distance in Å.
Element x y z (fractional)
Be: 0.1153 0.3847 0.0000  1 Be 2.14
Be: 0.8847 0.6153 0.0000  1 Be 2.14
Be: 0.3847 0.8847 0.0000  1 Be 2.14
Be: 0.6153 0.1153 0.0000  1 Be 2.14
Mo: 0.5000 0.5000 0.0000  4 Be 2.64
Mo: 0.0000 0.0000 0.0000  4 Be 2.64
Zr: 0.3166 0.1834 0.5000  6 Be 2.61-2.71
Zr: 0.1834 0.6834 0.5000  6 Be 2.61-2.71
Zr: 0.6834 0.8166 0.5000  6 Be 2.61-2.71
Zr: 0.8166 0.3166 0.5000  6 Be 2.61-2.71

Summary:
magnetic moment: 0.000 μB/cell
uncorrected energy: -7.1385 eV per atom

(2)
Here is a geometry-optimized Pr2Ag3Hg4 structure from Alexandria via LeMat-Bulk. Energies are from PBE.

Lattice parameters (Å, degrees): 6.3083 8.5632 8.6822 90.00 111.30 90.00
Last column: nearest neighbours and their distance in Å.
Element x y z (fractional)
Ag: 0.4698 0.2500 0.4395  5 Hg 2.88-2.99, 2 Ag 3.15
Ag: 0.0302 0.7500 0.5605  5 Hg 2.88-2.99, 2 Ag 3.15
Ag: 0.5000 0.5000 0.0000  6 Hg 2.74-2.90
Ag: 0.9698 0.2500 0.4395  5 Hg 2.88-2.99, 2 Ag 3.15
Ag: 0.5302 0.7500 0.5605  5 Hg 2.88-2.99, 2 Ag 3.15
Ag: 0.0000 0.0000 0.0000  6 Hg 2.74-2.90
Pr: 0.1222 0.5726 0.2445  8 Hg 3.30-3.47, 4 Ag 3.37-3.55
Pr: 0.6222 0.9274 0.2445  8 Hg 3.30-3.47, 4 Ag 3.37-3.55
Pr: 0.8778 0.4274 0.7555  8 Hg 3.30-3.47, 4 Ag 3.37-3.55
Pr: 0.3778 0.0726 0.7555  8 Hg 3.30-3.47, 4 Ag 3.37-3.55
Hg: 0.2081 0.7500 0.9161  3 Ag 2.74-2.88
Hg: 0.7919 0.2500 0.0839  3 Ag 2.74-2.88
Hg: 0.7081 0.7500 0.9161  3 Ag 2.74-2.88
Hg: 0.1782 0.9639 0.3565  5 Ag 2.90-2.99
Hg: 0.6782 0.5361 0.3565  5 Ag 2.90-2.99
Hg: 0.2919 0.2500 0.0839  3 Ag 2.74-2.88
Hg: 0.3218 0.4639 0.6435  5 Ag 2.90-2.99
Hg: 0.8218 0.0361 0.6435  5 Ag 2.90-2.99

Summary:
distance to the lowest polymorph of the same formula: 37.1 kJ/mol of formula units
magnetic moment: 0.000 μB/cell

(3)
Here is a geometry-optimized ZnCo2Pd structure from Alexandria via LeMat-Bulk. Energies are from PBE.

Lattice parameters (Å, degrees): 3.5090 3.5090 9.4411 79.29 79.29 90.00
Last column: nearest neighbours and their distance in Å.
Element x y z (fractional)
Zn: 0.5000 0.5000 0.0000  4 Pd 2.48, 4 Co 2.57
Zn: 0.2500 0.7500 0.5000  4 Pd 2.48, 4 Co 2.57
Co: 0.1495 0.6250 0.2500  4 Co 2.36-2.61, 2 Zn 2.57, 2 Pd 2.62
Co: 0.6005 0.1250 0.2500  4 Co 2.36-2.61, 2 Zn 2.57, 2 Pd 2.62
Co: 0.8750 0.8505 0.7500  4 Co 2.36-2.61, 2 Zn 2.57, 2 Pd 2.62
Co: 0.3750 0.3995 0.7500  4 Co 2.36-2.61, 2 Zn 2.57, 2 Pd 2.62
Pd: 0.7500 0.2500 0.5000  4 Zn 2.48, 4 Co 2.62
Pd: 0.0000 0.0000 0.0000  4 Zn 2.48, 4 Co 2.62

Summary:
magnetic moment: 7.409 μB/cell
uncorrected energy: -4.9003 eV per atom

(4)
Here is a geometry-optimized SrLaZn2 structure from Alexandria via LeMat-Bulk. Energies are from PBE.

Lattice parameters (Å, degrees): 5.2673 5.2673 5.2673 60.00 60.00 60.00
Last column: nearest neighbours and their distance in Å.
Element x y z (fractional)
Sr: 0.7500 0.7500 0.7500  4 Zn 3.23, 4 La 3.23
Zn: 0.0000 0.0000 0.0000  4 Sr 3.23, 4 Zn 3.23
Zn: 0.2500 0.2500 0.2500  4 La 3.23, 4 Zn 3.23
La: 0.5000 0.5000 0.5000  4 Sr 3.23, 4 Zn 3.23

Summary:
magnetic moment: 0.001 μB/cell
uncorrected energy: -2.1825 eV per atom